1.
20
Lattice="8.038 0.000 0.000 0.000 8.038 0.000 0.000 0.000 3.747" Properties=species:S:1:pos:R:3 comment="Mn5Fe2Tc2Ge PBE optimized geometry" vol_a3_per_fu=121.1 ef_ev_per_atom=0.1633 final_energy_ev_per_atom=-8.649 pbc="T T T"
Mn 0.000 4.019 0.000
Mn 0.574 1.611 0.000
Mn 1.611 7.464 0.000
Mn 2.408 3.445 0.000
Mn 3.445 5.630 0.000
Mn 4.019 0.000 0.000
Mn 4.593 2.408 0.000
Mn 5.630 4.593 0.000
Mn 6.427 0.574 0.000
Mn 7.464 6.427 0.000
Fe 1.041 2.978 1.874
Fe 2.978 6.997 1.874
Fe 5.060 1.041 1.874
Fe 6.997 5.060 1.874
Tc 1.320 5.339 1.874
Tc 2.699 1.320 1.874
Tc 5.339 6.718 1.874
Tc 6.718 2.699 1.874
Ge 0.000 0.000 1.874
Ge 4.019 4.019 1.874

---

2.
12
Lattice="3.025 -5.270 0.000 3.025 5.270 0.000 0.000 0.000 7.043" Properties=species:S:1:pos:R:3 comment="ThMnFeGe3 PBE optimized geometry" vol_a3_per_fu=112.3 ef_ev_per_atom=-0.1506 final_energy_ev_per_atom=-6.635 pbc="T T T"
Th 3.025 2.691 5.282
Th 3.025 -2.691 1.761
Mn 3.025 0.383 1.761
Mn 3.025 -0.383 5.282
Fe 3.025 4.886 1.761
Fe 3.025 -4.886 5.282
Ge 1.457 0.000 0.000
Ge 1.457 0.000 3.521
Ge 3.025 2.652 1.761
Ge 3.025 -2.652 5.282
Ge 4.593 0.000 0.000
Ge 4.593 0.000 3.521

---

3.
5
Lattice="-2.031 2.031 5.256 2.031 -2.031 5.256 2.031 2.031 -5.256" Properties=species:S:1:pos:R:3 comment="ThMnFeGe2 PBE optimized geometry" vol_a3_per_fu=86.7 ef_ev_per_atom=-0.4551 final_energy_ev_per_atom=-7.312 pbc="T T T"
Th 0.000 0.000 0.000
Mn 0.000 2.031 2.628
Fe 2.031 0.000 2.628
Ge 0.000 0.000 3.933
Ge 0.000 0.000 6.579

---

4.
5
Lattice="-1.953 1.953 5.292 1.953 -1.953 5.292 1.953 1.953 -5.292" Properties=species:S:1:pos:R:3 comment="TmMnFeGe2 PBE optimized geometry" vol_a3_per_fu=80.7 ef_ev_per_atom=-0.4684 final_energy_ev_per_atom=-6.736 pbc="T T T"
Tm 0.000 0.000 0.000
Mn 1.953 0.000 2.646
Fe 0.000 1.953 2.646
Ge 0.000 0.000 4.023
Ge 0.000 0.000 6.560

---

5.
12
Lattice="3.880 -4.818 0.000 3.880 4.818 0.000 0.000 0.000 5.721" Properties=species:S:1:pos:R:3 comment="UMnFeGe3 PBE optimized geometry" vol_a3_per_fu=107.0 ef_ev_per_atom=-0.0026 final_energy_ev_per_atom=-7.131 pbc="T T T"
U 3.880 2.440 4.291
U 3.880 -2.440 1.430
Mn 3.880 4.581 4.291
Mn 3.880 -4.581 1.430
Fe 3.880 0.239 4.291
Fe 3.880 -0.239 1.430
Ge 3.880 2.431 1.430
Ge 1.960 0.000 0.000
Ge 1.960 0.000 2.861
Ge 5.801 0.000 0.000
Ge 5.801 0.000 2.861
Ge 3.880 -2.431 4.291

---

6.
20
Lattice="8.067 0.000 0.000 0.000 8.067 0.000 0.000 0.000 3.816" Properties=species:S:1:pos:R:3 comment="Mn5Fe2GeW2 PBE optimized geometry" vol_a3_per_fu=124.2 ef_ev_per_atom=0.1801 final_energy_ev_per_atom=-9.150 pbc="T T T"
Mn 0.000 4.033 0.000
Mn 0.570 1.596 0.000
Mn 1.596 7.496 0.000
Mn 2.437 3.463 0.000
Mn 3.463 5.629 0.000
Mn 4.033 0.000 0.000
Mn 4.604 2.437 0.000
Mn 5.629 4.604 0.000
Mn 6.471 0.570 0.000
Mn 7.496 6.471 0.000
Fe 1.084 2.950 1.908
Fe 2.950 6.983 1.908
Fe 5.117 1.084 1.908
Fe 6.983 5.117 1.908
Ge 0.000 0.000 1.908
Ge 4.033 4.033 1.908
W 1.296 5.330 1.908
W 2.737 1.296 1.908
W 5.330 6.770 1.908
W 6.770 2.737 1.908